Below is a geometry-optimized AlAu2Br2 structure, with properties calculated at the PBE level.

As for the density of states at the Fermi level: 0.6890 states/eV/atom. The formation energy from raw total energies is 387 meV/atom.

It has space group I4/mmm (No. 139), with a = 4.4737 Å, b = 4.4737 Å, c = 12.7975 Å, α = 90.00°, β = 90.00° and γ = 90.00°. The inequivalent atoms are Al at (0.0000, 0.0000, 0.0000), Au at (0.0000, 0.0000, 0.3993) and Br at (0.0000, 0.5000, 0.2500).

***

Below is a geometry-optimized BaCe2GeP4 structure, with properties calculated at the PBE level.

As for the density of states at the Fermi level: 1.3077 states/eV/atom. As for the formation energy: -0.981 eV/atom.

It has space group Cmcm (No. 63), with a = 4.2970 Å, b = 14.0216 Å, c = 13.7692 Å, α = 90.00°, β = 90.00° and γ = 90.00°. The inequivalent atoms are Ba at (0.0000, 0.1091, 0.2500), Ce at (0.0000, 0.3694, 0.0517), Ge at (0.0000, 0.1510, 0.7500), P at (0.0000, 0.0000, 0.0000), P at (0.0000, 0.2593, 0.6185) and P at (0.0000, 0.4305, 0.2500).

***

Below is a geometry-optimized HoPd2Pt structure, with properties calculated at the PBE level.

As for the density of states at the Fermi level: 1.1965 states/eV/atom. As for the formation energy: -0.946 eV/atom.

It has space group P4/mmm (No. 123), with a = 4.1223 Å, b = 4.1223 Å, c = 4.0889 Å, α = 90.00°, β = 90.00° and γ = 90.00°. The inequivalent atoms are Ho at (0.0000, 0.0000, 0.0000), Pd at (0.0000, 0.5000, 0.5000) and Pt at (0.5000, 0.5000, 0.0000).

***

Below is a geometry-optimized Li2TcSb structure, with properties calculated at the PBE level.

As for the density of states at the Fermi level: 0.9227 states/eV/atom. The formation energy from raw total energies is 194 meV/atom.

It has space group P4/mmm (No. 123), with a = 3.5396 Å, b = 3.5396 Å, c = 5.2660 Å, α = 90.00°, β = 90.00° and γ = 90.00°. The inequivalent atoms are Li at (0.0000, 0.0000, 0.2276), Tc at (0.5000, 0.5000, 0.0000) and Sb at (0.5000, 0.5000, 0.5000).